Computed, not measured: crystalline NaPuPbO6 at its relaxed geometry at the PBE level of DFT.

Geometry as POSCAR:
```
NaPuPbO6
1.0
5.593 0.000 0.000
-2.796 4.844 0.000
0.000 0.000 10.376
Na Pu Pb O
2 2 2 12
Cartesian
0.000 0.000 0.000
0.000 0.000 5.188
0.000 3.229 2.594
2.796 1.615 7.782
0.000 3.229 7.782
2.796 1.615 2.594
-0.897 1.808 1.450
-1.679 3.162 3.738
0.897 1.808 3.738
-0.782 4.717 1.450
2.015 0.127 6.638
1.117 1.681 8.927
1.679 3.162 1.450
0.782 4.717 3.738
3.578 0.127 8.927
1.899 3.035 6.638
4.476 1.681 6.638
3.694 3.035 8.927
```

Values from the calculation:
Uncorrected formation energy   -14.38 eV/f.u.
Energy   -0.2592 hartree per atom
Crystal system   trigonal
D(E_F)   1.91 states/eV/f.u.